No. 1
VASP calculation (PBE) on an optimized crystal structure of La2AuF2.

## Properties
Formation energy without anion corrections   -2.47 eV per atom
Fermi-level density of states   0.389 states/eV/atom
SG   I4/mmm, No. 139
V   21.1 Å³ per atom
Total magnetization   0.0 μB/cell

Cell lengths 3.866, 3.866, 7.582 Å; angles 75.23, 75.23, 90.00 degrees
Sites, in units of the cell vectors:
La 0.632 0.632 0.736
La 0.368 0.368 0.264
F 0.750 0.250 0.500
F 0.250 0.750 0.500
Au 0.000 0.000 0.000

No. 2
VASP calculation (PBE) on an optimized crystal structure of LaMgCdGe2.

## Properties
Fermi-level density of states   0.391 states/eV/atom
SG   I-4m2, No. 119
ΔE_f   -0.500 eV per atom
V   23.0 Å³ per atom
Total magnetization   0.0 μB/cell

Cell lengths 4.332, 4.332, 6.846 Å; angles 108.45, 108.45, 90.00 degrees
Sites, in units of the cell vectors:
Ge 0.605 0.605 0.209
Ge 0.395 0.395 0.791
Mg 0.250 0.750 0.500
Cd 0.750 0.250 0.500
La 0.000 0.000 0.000

No. 3
VASP calculation (PBE) on an optimized crystal structure of YInCl2.

## Properties
Formation energy without anion corrections   -1.12 eV per atom
Fermi-level density of states   0.388 states/eV/atom
SG   P2/m, No. 10
V   26.6 Å³ per atom
Total magnetization   0.0 μB/cell

Cell lengths 4.647, 3.852, 5.937 Å; angles 87.85, 90.00, 90.00 degrees
Sites, in units of the cell vectors:
In 0.500 0.250 0.250
Cl 0.000 0.927 0.983
Cl 0.000 0.573 0.517
Y 0.500 0.750 0.750

No. 4
VASP calculation (PBE) on an optimized crystal structure of RuPtN2O.

## Properties
Formation energy without anion corrections   1.62 eV per atom
Fermi-level density of states   0.748 states/eV/atom
SG   P4/mmm, No. 123
V   12.3 Å³ per atom
Total magnetization   2.8 μB/cell

Cell lengths 3.871, 3.871, 4.099 Å; angles 90.00, 90.00, 90.00 degrees
Each line ends with the local moment (μB).
Sites, in units of the cell vectors:
Ru 0.500 0.500 0.500  2.69
Pt 0.000 0.000 0.000  -0.19
O 0.000 0.000 0.500  0.21
N 0.000 0.500 0.000  -0.03
N 0.500 0.000 0.000  -0.03

No. 5
VASP calculation (PBE) on an optimized crystal structure of Sc3In2H2.

## Properties
Fermi-level density of states   0.704 states/eV/atom
SG   C2/m, No. 12
E   -0.3647 Ry per atom
V   17.1 Å³ per atom
Total magnetization   0.0 μB/cell

Cell lengths 3.368, 5.764, 7.959 Å; angles 103.82, 90.01, 125.76 degrees
Sites, in units of the cell vectors:
H 0.250 0.750 0.000
H 0.750 0.250 0.000
In 0.194 0.194 0.387
In 0.806 0.806 0.613
Sc 0.110 0.610 0.220
Sc 0.890 0.390 0.780
Sc 0.000 0.000 0.000

No. 6
VASP calculation (PBE) on an optimized crystal structure of Li2Al7Ga2.

## Properties
Fermi-level density of states   0.303 states/eV/atom
SG   C2/m, No. 12
ΔE_f   -0.016 eV per atom
V   17.3 Å³ per atom
Total magnetization   0.0 μB/cell

Cell lengths 7.846, 5.164, 5.164 Å; angles 114.35, 89.49, 89.49 degrees
Sites, in units of the cell vectors:
Ga 0.639 0.237 0.237
Ga 0.361 0.763 0.763
Al 0.000 0.000 0.000
Al 0.151 0.412 0.851
Al 0.711 0.724 0.724
Al 0.849 0.149 0.588
Al 0.849 0.588 0.149
Al 0.289 0.276 0.276
Al 0.151 0.851 0.412
Li 0.500 0.250 0.750
Li 0.500 0.750 0.250

No. 7
VASP calculation (PBE) on an optimized crystal structure of CrCd3W.

## Properties
Fermi-level density of states   0.712 states/eV/atom
SG   Pm-3m, No. 221
ΔE_f   1.745 eV per atom
V   26.6 Å³ per atom
Total magnetization   8.5 μB/cell

Cell lengths 5.107, 5.107, 5.107 Å; angles 90.00, 90.00, 90.00 degrees
Each line ends with the local moment (μB).
Sites, in units of the cell vectors:
Cd 0.500 0.000 0.000  0.06
Cd 0.000 0.500 0.000  0.03
Cd 0.000 0.000 0.500  0.02
Cr 0.000 0.000 0.000  3.76
W 0.500 0.500 0.500  3.12

No. 8
VASP calculation (PBE) on an optimized crystal structure of Tb6GaCu5.

## Properties
Fermi-level density of states   0.551 states/eV/atom
SG   P2/m, No. 10
ΔE_f   -0.295 eV per atom
V   21.5 Å³ per atom
Total magnetization   0.0 μB/cell

Cell lengths 4.945, 7.042, 7.821 Å; angles 90.00, 108.42, 90.00 degrees
Sites, in units of the cell vectors:
Cu 0.000 0.500 0.000
Cu 0.660 0.000 0.323
Cu 0.334 0.500 0.665
Cu 0.340 0.000 0.677
Cu 0.666 0.500 0.335
Tb 0.832 0.252 0.662
Tb 0.500 0.256 0.000
Tb 0.832 0.748 0.662
Tb 0.168 0.748 0.338
Tb 0.168 0.252 0.338
Tb 0.500 0.744 0.000
Ga 0.000 0.000 0.000

No. 9
VASP calculation (PBE) on an optimized crystal structure of Cs3Pu2AgTe6.

## Properties
Formation energy without anion corrections   -0.83 eV per atom
Fermi-level density of states   1.662 states/eV/atom
SG   C2/m, No. 12
V   39.9 Å³ per atom
Total magnetization   7.9 μB/cell

Cell lengths 7.929, 7.929, 9.188 Å; angles 98.15, 98.15, 120.19 degrees
Each line ends with the local moment (μB).
Sites, in units of the cell vectors:
Cs 0.838 0.162 0.500  -0.01
Cs 0.500 0.500 0.500  -0.01
Cs 0.162 0.838 0.500  -0.01
Te 0.938 0.599 0.814  -0.19
Te 0.062 0.401 0.186  -0.19
Te 0.599 0.938 0.814  -0.19
Te 0.275 0.275 0.818  -0.19
Te 0.725 0.725 0.182  -0.19
Te 0.401 0.062 0.186  -0.19
Pu 0.333 0.667 0.000  4.97
Pu 0.667 0.333 0.000  4.97
Ag 0.000 0.000 0.000  -0.10

No. 10
VASP calculation (PBE) on an optimized crystal structure of Sc2MoOs.

## Properties
Fermi-level density of states   0.851 states/eV/atom
SG   Pmmm, No. 47
ΔE_f   -0.006 eV per atom
V   17.2 Å³ per atom
Total magnetization   0.0 μB/cell

Cell lengths 3.226, 4.811, 4.434 Å; angles 90.00, 90.00, 90.00 degrees
Sites, in units of the cell vectors:
Sc 0.000 0.000 0.000
Sc 0.500 0.500 0.000
Mo 0.500 0.000 0.500
Os 0.000 0.500 0.500

No. 11
VASP calculation (PBE) on an optimized crystal structure of Mo2Ru.

## Properties
Fermi-level density of states   1.022 states/eV/atom
SG   Cm, No. 8
ΔE_f   0.164 eV per atom
V   15.3 Å³ per atom
Total magnetization   0.0 μB/cell

Cell lengths 5.240, 5.240, 6.716 Å; angles 72.60, 72.60, 31.62 degrees
Sites, in units of the cell vectors:
Mo 0.666 0.666 0.679
Mo 0.980 0.980 0.001
Mo 0.622 0.622 0.270
Mo 0.342 0.342 0.344
Ru 0.271 0.271 0.933
Ru 0.951 0.951 0.607

No. 12
VASP calculation (PBE) on an optimized crystal structure of ZnReNi.

## Properties
Fermi-level density of states   0.760 states/eV/atom
SG   Amm2, No. 38
ΔE_f   0.010 eV per atom
V   13.2 Å³ per atom
Total magnetization   0.0 μB/cell

Cell lengths 4.329, 2.657, 13.820 Å; angles 90.00, 90.00, 90.00 degrees
Sites, in units of the cell vectors:
Re 0.000 0.000 0.449
Re 0.500 0.500 0.841
Re 0.500 0.000 0.341
Re 0.000 0.500 0.949
Ni 0.000 0.000 0.106
Ni 0.500 0.500 0.503
Ni 0.500 0.000 0.003
Ni 0.000 0.500 0.606
Zn 0.500 0.000 0.659
Zn 0.000 0.500 0.268
Zn 0.500 0.500 0.159
Zn 0.000 0.000 0.768